#P
14
Lattice="2.715 -5.957 0.000 2.715 5.957 0.000 0.000 0.000 5.631" Properties=species:S:1:pos:R:3 comment="CaNdCrO4 (PBE with a Hubbard U, optimized geometry)" spacegroup="Cmc2_1 (36)" pbc="T T T"
Ca 2.715 -1.227 2.726
Ca 2.715 1.227 5.542
Nd 2.715 -4.631 2.911
Nd 2.715 4.631 0.096
Cr 2.715 2.970 2.825
Cr 2.715 -2.970 0.009
O 1.371 -2.699 4.210
O 4.058 2.699 1.395
O 1.371 2.699 1.395
O 4.058 -2.699 4.210
O 2.715 0.978 3.193
O 2.715 5.033 2.448
O 2.715 -0.978 0.378
O 2.715 -5.033 5.264

#Q
7
Lattice="6.629 0.004 0.000 4.364 4.990 0.000 -5.497 -2.497 2.738" Properties=species:S:1:pos:R:3 comment="CaNdCrO4 (PBE with a Hubbard U, optimized geometry)" spacegroup="I4mm (107)" pbc="T T T"
Ca 7.071 3.212 0.000
Nd 3.957 1.798 0.000
Cr 0.055 0.025 0.000
O 6.009 1.226 1.369
O 4.877 3.719 1.369
O 9.127 4.146 0.000
O 1.885 0.856 0.000

Most stable structure - #P; separation to the second - 16 meV/atom.